Below is a relaxed structure of TbErTlCu, with properties calculated at the PBE level.

Formation enthalpy at 0 K in eV per atom: -0.247
Fermi-level density of states in states/eV/f.u.: 3.05
Calculated total energy in eV/f.u.: -16.64
Space-group type: F-43m, No. 216

a b c (Å): 5.1662 5.1662 5.1662
angles (deg): 60.00 60.00 60.00
Fractional coordinates of all 4 atoms:
Tl (0.7500, 0.7500, 0.7500)
Tb (0.0000, 0.0000, 0.0000)
Cu (0.2500, 0.2500, 0.2500)
Er (0.5000, 0.5000, 0.5000)

Below is a relaxed structure of Tb2ErZn12Cu3, with properties calculated at the PBE level.

Formation enthalpy at 0 K in eV per atom: -0.015
Fermi-level density of states in states/eV/f.u.: 8.96
Calculated total energy in eV/f.u.: -41.67
Space-group type: R-3m, No. 166

a b c (Å): 9.9305 9.9305 9.9305
angles (deg): 38.18 38.18 38.18
Fractional coordinates of all 18 atoms:
Tb (0.6430, 0.6430, 0.6430)
Tb (0.3570, 0.3570, 0.3570)
Er (0.0000, 0.0000, 0.0000)
Zn (0.3209, 0.3209, 0.7188)
Zn (0.8735, 0.8735, 0.4669)
Zn (0.4669, 0.8735, 0.8735)
Zn (0.7188, 0.3209, 0.3209)
Zn (0.8735, 0.4669, 0.8735)
Zn (0.3209, 0.7188, 0.3209)
Zn (0.6791, 0.6791, 0.2812)
Zn (0.1265, 0.1265, 0.5331)
Zn (0.5331, 0.1265, 0.1265)
Zn (0.2812, 0.6791, 0.6791)
Zn (0.1265, 0.5331, 0.1265)
Zn (0.6791, 0.2812, 0.6791)
Cu (0.5000, 0.0000, 0.0000)
Cu (0.0000, 0.5000, 0.0000)
Cu (0.0000, 0.0000, 0.5000)

Below is a relaxed structure of Er6Cu2Tc, with properties calculated at the PBE level.

Formation enthalpy at 0 K in eV per atom: -0.132
Fermi-level density of states in states/eV/f.u.: 9.23
Calculated total energy in eV/f.u.: -47.12
Space-group type: Immm, No. 71

a b c (Å): 8.2153 8.2153 8.2153
angles (deg): 109.85 109.52 109.04
Fractional coordinates of all 18 atoms:
Er (0.5695, 0.7444, 0.8251)
Er (0.4305, 0.2556, 0.1749)
Er (0.0806, 0.2556, 0.8251)
Er (0.9194, 0.7444, 0.1749)
Er (0.8129, 0.7392, 0.5522)
Er (0.1871, 0.2608, 0.4478)
Er (0.1871, 0.7392, 0.9263)
Er (0.8129, 0.2608, 0.0737)
Er (0.7130, 0.3834, 0.6704)
Er (0.2870, 0.6166, 0.3296)
Er (0.2870, 0.9574, 0.6704)
Er (0.7130, 0.0426, 0.3296)
Cu (0.5000, 0.3762, 0.8762)
Cu (0.5000, 0.6238, 0.1238)
Cu (0.6493, 0.0000, 0.6493)
Cu (0.3507, 0.0000, 0.3507)
Tc (0.0000, 0.5000, 0.5000)
Tc (0.0000, 0.0000, 0.0000)

Below is a relaxed structure of Er2CuTc, with properties calculated at the PBE level.

Formation enthalpy at 0 K in eV per atom: -0.139
Fermi-level density of states in states/eV/f.u.: 3.00
Calculated total energy in eV/f.u.: -24.15
Space-group type: Fm-3m, No. 225

a b c (Å): 4.8240 4.8240 4.8240
angles (deg): 60.00 60.00 60.00
Fractional coordinates of all 4 atoms:
Tc (0.0000, 0.0000, 0.0000)
Cu (0.5000, 0.5000, 0.5000)
Er (0.2500, 0.2500, 0.2500)
Er (0.7500, 0.7500, 0.7500)

Below is a relaxed structure of Er4Cu3Tc, with properties calculated at the PBE level.

Formation enthalpy at 0 K in eV per atom: -0.210
Fermi-level density of states in states/eV/f.u.: 6.83
Calculated total energy in eV/f.u.: -42.59
Space-group type: P4/mmm, No. 123

a b c (Å): 3.4240 3.4240 13.7667
angles (deg): 90.00 90.00 90.00
Fractional coordinates of all 8 atoms:
Tc (0.5000, 0.5000, 0.0000)
Cu (0.5000, 0.5000, 0.2497)
Cu (0.5000, 0.5000, 0.5000)
Cu (0.5000, 0.5000, 0.7503)
Er (0.0000, 0.0000, 0.8801)
Er (0.0000, 0.0000, 0.1199)
Er (0.0000, 0.0000, 0.3737)
Er (0.0000, 0.0000, 0.6263)

Below is a relaxed structure of Er8CuTc2, with properties calculated at the PBE level.

Formation enthalpy at 0 K in eV per atom: -0.044
Fermi-level density of states in states/eV/f.u.: 9.96
Calculated total energy in eV/f.u.: -61.81
Space-group type: Cm, No. 8

a b c (Å): 5.7423 7.5886 7.5886
angles (deg): 112.22 100.34 100.34
Fractional coordinates of all 11 atoms:
Tc (0.4851, 0.6940, 0.3149)
Tc (0.4851, 0.3149, 0.6940)
Cu (0.1354, 0.9984, 0.9984)
Er (0.5835, 0.3453, 0.0807)
Er (0.5835, 0.0807, 0.3453)
Er (0.1834, 0.3721, 0.3721)
Er (0.9886, 0.2220, 0.7839)
Er (0.9886, 0.7839, 0.2220)
Er (0.7907, 0.6282, 0.6282)
Er (0.3879, 0.9290, 0.6655)
Er (0.3879, 0.6655, 0.9290)

Below is a relaxed structure of Er2CuTc, with properties calculated at the PBE level.

Formation enthalpy at 0 K in eV per atom: -0.160
Fermi-level density of states in states/eV/f.u.: 3.04
Calculated total energy in eV/f.u.: -24.23
Space-group type: P4/mmm, No. 123

a b c (Å): 3.4212 3.4212 6.9023
angles (deg): 90.00 90.00 90.00
Fractional coordinates of all 4 atoms:
Tc (0.5000, 0.5000, 0.0000)
Cu (0.5000, 0.5000, 0.5000)
Er (0.0000, 0.0000, 0.7632)
Er (0.0000, 0.0000, 0.2368)

Below is a relaxed structure of Er6CuTc2, with properties calculated at the PBE level.

Formation enthalpy at 0 K in eV per atom: -0.105
Fermi-level density of states in states/eV/f.u.: 9.82
Calculated total energy in eV/f.u.: -53.15
Space-group type: Immm, No. 71

a b c (Å): 8.3239 8.3239 8.3239
angles (deg): 105.66 111.87 110.95
Fractional coordinates of all 18 atoms:
Er (0.5543, 0.7338, 0.8205)
Er (0.4457, 0.2662, 0.1795)
Er (0.0867, 0.2662, 0.8205)
Er (0.9133, 0.7338, 0.1795)
Er (0.8059, 0.7457, 0.5516)
Er (0.1941, 0.2543, 0.4484)
Er (0.1941, 0.7457, 0.9398)
Er (0.8059, 0.2543, 0.0602)
Er (0.6878, 0.3539, 0.6661)
Er (0.3122, 0.6461, 0.3339)
Er (0.3122, 0.9783, 0.6661)
Er (0.6878, 0.0217, 0.3339)
Cu (0.0000, 0.5000, 0.5000)
Cu (0.0000, 0.0000, 0.0000)
Tc (0.5000, 0.3847, 0.8847)
Tc (0.5000, 0.6153, 0.1153)
Tc (0.6816, 0.0000, 0.6816)
Tc (0.3184, 0.0000, 0.3184)

Below is a relaxed structure of ErTiCuTc, with properties calculated at the PBE level.

Formation enthalpy at 0 K in eV per atom: -0.140
Fermi-level density of states in states/eV/f.u.: 3.34
Calculated total energy in eV/f.u.: -27.48
Space-group type: F-43m, No. 216

a b c (Å): 4.5949 4.5949 4.5949
angles (deg): 60.00 60.00 60.00
Fractional coordinates of all 4 atoms:
Ti (0.2500, 0.2500, 0.2500)
Tc (0.0000, 0.0000, 0.0000)
Cu (0.5000, 0.5000, 0.5000)
Er (0.7500, 0.7500, 0.7500)

Below is a relaxed structure of Er3Tm3Cu2Tc, with properties calculated at the PBE level.

Formation enthalpy at 0 K in eV per atom: -0.168
Fermi-level density of states in states/eV/f.u.: 9.45
Calculated total energy in eV/f.u.: -47.18
Space-group type: P-62m, No. 189

a b c (Å): 4.6573 7.2904 7.2904
angles (deg): 120.00 90.00 90.00
Fractional coordinates of all 9 atoms:
Er (0.0000, 0.5974, 0.5974)
Er (0.0000, 0.0000, 0.4026)
Er (0.0000, 0.4026, 0.0000)
Tm (0.5000, 0.7435, 0.0000)
Tm (0.5000, 0.0000, 0.7435)
Tm (0.5000, 0.2565, 0.2565)
Cu (0.5000, 0.6667, 0.3333)
Cu (0.5000, 0.3333, 0.6667)
Tc (0.0000, 0.0000, 0.0000)

Below is a relaxed structure of ErTmCuTc, with properties calculated at the PBE level.

Formation enthalpy at 0 K in eV per atom: -0.150
Fermi-level density of states in states/eV/f.u.: 2.86
Calculated total energy in eV/f.u.: -24.09
Space-group type: F-43m, No. 216

a b c (Å): 4.8127 4.8127 4.8127
angles (deg): 60.00 60.00 60.00
Fractional coordinates of all 4 atoms:
Tm (0.5000, 0.5000, 0.5000)
Tc (0.7500, 0.7500, 0.7500)
Cu (0.2500, 0.2500, 0.2500)
Er (0.0000, 0.0000, 0.0000)

Below is a relaxed structure of YErCuTc, with properties calculated at the PBE level.

Formation enthalpy at 0 K in eV per atom: -0.103
Fermi-level density of states in states/eV/f.u.: 3.24
Calculated total energy in eV/f.u.: -25.90
Space-group type: F-43m, No. 216

a b c (Å): 4.8565 4.8565 4.8565
angles (deg): 60.00 60.00 60.00
Fractional coordinates of all 4 atoms:
Y (0.7500, 0.7500, 0.7500)
Tc (0.5000, 0.5000, 0.5000)
Cu (0.0000, 0.0000, 0.0000)
Er (0.2500, 0.2500, 0.2500)